# 1
! Er3ThCu2 PBE-GGA relaxed; values from VASP
! calculated density	9.94	g/cm3
! E	-5.04	eV per atom
&SYSTEM
  ibrav = 0, nat = 6, ntyp = 3
/
ATOMIC_SPECIES
Er 167.26 Er.upf
Th 232.04 Th.upf
Cu 63.55 Cu.upf
CELL_PARAMETERS angstrom
3.4717 0.0000 0.0000
0.0000 3.4717 0.0000
0.0000 0.0000 11.9312
ATOMIC_POSITIONS angstrom
Er 0.0000 0.0000 0.0000
Er 0.0000 0.0000 3.4021
Er 0.0000 0.0000 8.5291
Th 1.7359 1.7359 5.9656
Cu 1.7359 1.7359 1.7069
Cu 1.7359 1.7359 10.2243

=====

# 2
! Ce2Pu2AlGe4 PBE-GGA relaxed; values from VASP
! calculated density	8.44	g/cm3
! E	-7.22	eV per atom
&SYSTEM
  ibrav = 0, nat = 9, ntyp = 4
/
ATOMIC_SPECIES
Ce 140.12 Ce.upf
Pu 244.00 Pu.upf
Al 26.98 Al.upf
Ge 72.64 Ge.upf
CELL_PARAMETERS angstrom
-3.5130 3.5130 4.3271
3.5130 -3.5130 4.3271
3.5130 3.5130 -4.3271
ATOMIC_POSITIONS angstrom
Ce 3.5130 0.0000 2.1636
Ce 0.0000 3.5130 2.1636
Pu 0.0000 0.0000 1.5184
Pu 0.0000 0.0000 7.1359
Al 0.0000 0.0000 4.3271
Ge 1.7765 1.7765 0.0000
Ge 1.7365 -1.7365 4.3271
Ge -1.7365 1.7365 4.3271
Ge 1.7365 1.7365 4.3271

=====

# 3
! Sm3Ho12Th PBE-GGA relaxed; values from VASP
! calculated density	8.75	g/cm3
! E	-4.76	eV per atom
&SYSTEM
  ibrav = 0, nat = 16, ntyp = 3
/
ATOMIC_SPECIES
Sm 150.36 Sm.upf
Ho 164.93 Ho.upf
Th 232.04 Th.upf
CELL_PARAMETERS angstrom
5.0181 0.0000 0.0000
0.0000 5.0181 0.0000
0.0000 0.0000 20.0577
ATOMIC_POSITIONS angstrom
Sm 0.0000 0.0000 0.0000
Sm 0.0000 0.0000 5.0343
Sm 0.0000 0.0000 15.0234
Ho 0.0000 2.5090 2.5187
Ho 0.0000 2.5090 7.5658
Ho 0.0000 2.5090 12.4919
Ho 0.0000 2.5090 17.5390
Ho 2.5090 0.0000 2.5187
Ho 2.5090 0.0000 7.5658
Ho 2.5090 0.0000 12.4919
Ho 2.5090 0.0000 17.5390
Ho 2.5090 2.5090 0.0000
Ho 2.5090 2.5090 5.0134
Ho 2.5090 2.5090 10.0289
Ho 2.5090 2.5090 15.0443
Th 0.0000 0.0000 10.0289